[1]
VASP calculation (PBE) on a geometry-optimized TaZnGe2O8 structure.

a b c (Å): 6.543 6.543 6.397
angles (deg): 90.00 90.00 90.00
Space group I-4m2 (No. 119)
Inequivalent atoms, fractional coordinates:
Ta 0.000 0.000 0.000 (multiplicity 2)
Zn 0.000 0.500 0.250 (multiplicity 2)
Ge 0.000 0.000 0.500 (multiplicity 2)
Ge 0.000 0.500 0.750 (multiplicity 2)
O 0.000 0.187 0.298 (multiplicity 8)
O 0.000 0.297 0.929 (multiplicity 8)

Output
**DOS at the Fermi energy**: 9.4 states/eV/f.u.
**E_tot**: -164.42 eV for the cell shown
**Crystal system**: tetragonal

[2]
VASP calculation (PBE) on a geometry-optimized TbGeO3 structure.

a b c (Å): 3.917 3.917 3.917
angles (deg): 90.00 90.00 90.00
Space group Pm-3m (No. 221)
Inequivalent atoms, fractional coordinates:
Tb 0.000 0.000 0.000 (multiplicity 1)
Ge 0.500 0.500 0.500 (multiplicity 1)
O 0.000 0.500 0.500 (multiplicity 3)

Output
**DOS at the Fermi energy**: 1.8 states/eV/f.u.
**E_tot**: -34.04 eV for the cell shown
**Crystal system**: cubic

[3]
VASP calculation (PBE) on a geometry-optimized Tb3GeO structure.

a b c (Å): 7.216 3.753 8.100
angles (deg): 90.00 95.65 90.00
Space group P2_1/m (No. 11)
Inequivalent atoms, fractional coordinates:
Tb 0.070 0.250 0.340 (multiplicity 2)
Tb 0.255 0.250 0.939 (multiplicity 2)
Tb 0.375 0.750 0.625 (multiplicity 2)
Ge 0.350 0.750 0.230 (multiplicity 2)
O 0.141 0.250 0.634 (multiplicity 2)

Output
**Energy relative to the lowest polymorph listed for this composition**: 0.0 kJ per mole of atoms
**DOS at the Fermi energy**: 3.6 states/eV/f.u.
**Crystal system**: monoclinic

[4]
VASP calculation (PBE) on a geometry-optimized Tb3GeO structure.

a b c (Å): 4.710 4.710 4.710
angles (deg): 90.00 90.00 90.00
Space group Pm-3m (No. 221)
Inequivalent atoms, fractional coordinates:
Tb 0.000 0.000 0.500 (multiplicity 3)
Ge 0.500 0.500 0.500 (multiplicity 1)
O 0.000 0.000 0.000 (multiplicity 1)

Output
**Energy relative to the lowest polymorph listed for this composition**: 4.0 kJ per mole of atoms
**DOS at the Fermi energy**: 3.7 states/eV/f.u.
**Crystal system**: cubic

[5]
VASP calculation (PBE) on a geometry-optimized TbGeO3 structure.

a b c (Å): 10.844 9.325 6.976
angles (deg): 90.00 118.59 90.00
Space group C2/c (No. 15)
Inequivalent atoms, fractional coordinates:
Tb 0.000 0.120 0.250 (multiplicity 4)
Tb 0.000 0.269 0.750 (multiplicity 4)
Ge 0.197 0.449 0.187 (multiplicity 8)
O 0.105 0.275 0.144 (multiplicity 8)
O 0.109 0.093 0.651 (multiplicity 8)
O 0.167 0.445 0.886 (multiplicity 8)

Output
**DOS at the Fermi energy**: 0.5 states/eV/f.u.
**E_tot**: -285.66 eV for the cell shown
**Crystal system**: monoclinic

[6]
VASP calculation (PBE) on a geometry-optimized Tb2GeO structure.

a b c (Å): 3.4434 3.4434 22.5233
angles (deg): 90.00 90.00 120.00
Space group R3m (No. 160, hexagonal axes)
Inequivalent atoms, fractional coordinates:
Tb 0.0000 0.0000 0.0000 (multiplicity 3)
Tb 0.0000 0.0000 0.1397 (multiplicity 3)
Ge 0.0000 0.0000 0.5693 (multiplicity 3)
O 0.0000 0.0000 0.7394 (multiplicity 3)

Output
**Energy relative to the lowest polymorph listed for this composition**: 23.9 kJ per mole of atoms
**DOS at the Fermi energy**: 1.2 states/eV/f.u.
**Crystal system**: trigonal

[7]
VASP calculation (PBE) on a geometry-optimized Tb3Ge5O12 structure.

a b c (Å): 12.849 12.849 12.849
angles (deg): 90.00 90.00 90.00
Space group Ia-3d (No. 230)
Inequivalent atoms, fractional coordinates:
Tb 0.000 0.250 0.125 (multiplicity 24)
Ge 0.000 0.000 0.000 (multiplicity 16)
Ge 0.000 0.250 0.375 (multiplicity 24)
O 0.032 0.063 0.664 (multiplicity 96)

Output
**DOS at the Fermi energy**: 1.9 states/eV/f.u.
**E_tot**: -1111.23 eV for the cell shown
**Crystal system**: cubic

[8]
VASP calculation (PBE) on a geometry-optimized Tb6GeO12 structure.

a b c (Å): 9.8319 9.8319 9.3331
angles (deg): 90.00 90.00 120.00
Space group R-3 (No. 148, hexagonal axes)
Inequivalent atoms, fractional coordinates:
Tb 0.0541 0.7910 0.1536 (multiplicity 18)
Ge 0.0000 0.0000 0.5000 (multiplicity 3)
O 0.0397 0.8144 0.9028 (multiplicity 18)
O 0.0424 0.8534 0.3928 (multiplicity 18)

Output
**DOS at the Fermi energy**: 12.3 states/eV/f.u.
**E_tot**: -447.47 eV for the cell shown
**Crystal system**: trigonal

[9]
VASP calculation (PBE) on a geometry-optimized Tb2GeO structure.

a b c (Å): 4.4832 4.4832 21.0117
angles (deg): 90.00 90.00 120.00
Space group R-3m (No. 166, hexagonal axes)
Inequivalent atoms, fractional coordinates:
Tb 0.0000 0.0000 0.0973 (multiplicity 6)
Ge 0.0000 0.0000 0.5000 (multiplicity 3)
O 0.0000 0.0000 0.0000 (multiplicity 3)

Output
**Energy relative to the lowest polymorph listed for this composition**: 18.5 kJ per mole of atoms
**Crystal system**: trigonal

[10]
VASP calculation (PBE) on a geometry-optimized TbGeO2 structure.

a b c (Å): 3.4367 3.4367 19.6679
angles (deg): 90.00 90.00 120.00
Space group R-3m (No. 166, hexagonal axes)
Inequivalent atoms, fractional coordinates:
Tb 0.0000 0.0000 0.0000 (multiplicity 3)
Ge 0.0000 0.0000 0.5000 (multiplicity 3)
O 0.0000 0.0000 0.1122 (multiplicity 6)

Output
**DOS at the Fermi energy**: 2.8 states/eV/f.u.
**E_tot**: -72.13 eV for the cell shown
**Crystal system**: trigonal

[11]
VASP calculation (PBE) on a geometry-optimized TbGe2O4 structure.

a b c (Å): 7.177 7.177 5.947
angles (deg): 90.00 90.00 90.00
Space group I4/mmm (No. 139)
Inequivalent atoms, fractional coordinates:
Tb 0.000 0.000 0.000 (multiplicity 2)
Ge 0.000 0.500 0.250 (multiplicity 4)
O 0.000 0.316 0.000 (multiplicity 8)

Output
**DOS at the Fermi energy**: 3.4 states/eV/f.u.
**E_tot**: -87.30 eV for the cell shown
**Crystal system**: tetragonal

[12]
VASP calculation (PBE) on a geometry-optimized Tb2GeO structure.

a b c (Å): 5.805 5.717 11.745
angles (deg): 90.00 115.86 90.00
Space group P2/c (No. 13)
Inequivalent atoms, fractional coordinates:
Tb 0.094 0.216 0.107 (multiplicity 4)
Tb 0.312 0.232 0.858 (multiplicity 4)
Ge 0.389 0.268 0.374 (multiplicity 4)
O 0.050 0.175 0.622 (multiplicity 4)

Output
**Energy relative to the lowest polymorph listed for this composition**: 0.0 kJ per mole of atoms
**DOS at the Fermi energy**: 0.6 states/eV/f.u.
**Crystal system**: monoclinic

[13]
VASP calculation (PBE) on a geometry-optimized Tb3GeO6 structure.

a b c (Å): 8.962 11.179 5.537
angles (deg): 90.00 90.00 90.00
Space group Cmc2_1 (No. 36)
Inequivalent atoms, fractional coordinates:
Tb 0.000 0.101 0.000 (multiplicity 4)
Tb 0.194 0.395 0.947 (multiplicity 8)
Ge 0.000 0.326 0.431 (multiplicity 4)
O 0.000 0.273 0.772 (multiplicity 4)
O 0.000 0.475 0.205 (multiplicity 4)
O 0.151 0.245 0.264 (multiplicity 8)
O 0.161 0.015 0.724 (multiplicity 8)

Output
**DOS at the Fermi energy**: 1.7 states/eV/f.u.
**E_tot**: -312.10 eV for the cell shown
**Crystal system**: orthorhombic

[14]
VASP calculation (PBE) on a geometry-optimized Tb12Ge3O5 structure.

a b c (Å): 15.313 15.313 15.313
angles (deg): 90.00 90.00 90.00
Space group Ia-3d (No. 230)
Inequivalent atoms, fractional coordinates:
Tb 0.036 0.053 0.650 (multiplicity 96)
Ge 0.000 0.250 0.125 (multiplicity 24)
O 0.000 0.000 0.000 (multiplicity 16)
O 0.000 0.250 0.375 (multiplicity 24)

Output
**DOS at the Fermi energy**: 16.2 states/eV/f.u.
**E_tot**: -1021.57 eV for the cell shown
**Crystal system**: cubic

[15]
VASP calculation (PBE) on a geometry-optimized Tb4Ge2O structure.

a b c (Å): 4.520 4.520 15.810
angles (deg): 90.00 90.00 90.00
Space group I4/mmm (No. 139)
Inequivalent atoms, fractional coordinates:
Tb 0.000 0.000 0.177 (multiplicity 4)
Tb 0.000 0.500 0.000 (multiplicity 4)
Ge 0.000 0.000 0.363 (multiplicity 4)
O 0.000 0.000 0.000 (multiplicity 2)

Output
**Energy relative to the lowest polymorph listed for this composition**: 2.4 kJ per mole of atoms
**DOS at the Fermi energy**: 7.1 states/eV/f.u.
**Crystal system**: tetragonal

[16]
VASP calculation (PBE) on a geometry-optimized Tb4Ge2O structure.

a b c (Å): 6.537 6.613 8.278
angles (deg): 90.00 108.34 90.00
Space group P2_1/m (No. 11)
Inequivalent atoms, fractional coordinates:
Tb 0.003 0.001 0.262 (multiplicity 4)
Tb 0.408 0.750 0.087 (multiplicity 2)
Tb 0.435 0.750 0.627 (multiplicity 2)
Ge 0.215 0.250 0.047 (multiplicity 2)
Ge 0.251 0.250 0.567 (multiplicity 2)
O 0.234 0.750 0.807 (multiplicity 2)

Output
**Energy relative to the lowest polymorph listed for this composition**: 0.0 kJ per mole of atoms
**DOS at the Fermi energy**: 4.0 states/eV/f.u.
**Crystal system**: monoclinic

Calculated values (g/cm3) of density for the records, taken in order: 6.30, 7.72, 8.60, 8.98, 6.00, 8.76, 6.46, 7.77, 5.54, 6.53, 3.99, 7.70, 7.73, 8.16, 8.19, 7.79.